No. 1
A geometry-optimized ThZn12Ni6 structure, computed with PBE.

abc: 6.8548 6.8548 6.8548
angles: 104.17 104.17 104.17
Fractional coordinates of all 19 atoms:
1 Th 0.0000 0.0000 0.0000
2 Zn 0.1140 0.5000 0.8860
3 Zn 0.1140 0.8860 0.5000
4 Zn 0.1473 0.4094 0.4094
5 Zn 0.4094 0.1472 0.4094
6 Zn 0.4094 0.4094 0.1472
7 Zn 0.5000 0.1140 0.8860
8 Zn 0.5000 0.8860 0.1140
9 Zn 0.5906 0.5906 0.8528
10 Zn 0.5906 0.8527 0.5906
11 Zn 0.8528 0.5906 0.5906
12 Zn 0.8860 0.1140 0.5000
13 Zn 0.8860 0.5000 0.1140
14 Ni 0.2708 0.2708 0.7032
15 Ni 0.2708 0.7032 0.2708
16 Ni 0.2968 0.7292 0.7292
17 Ni 0.7032 0.2708 0.2708
18 Ni 0.7292 0.2968 0.7292
19 Ni 0.7292 0.7292 0.2968

Values from the calculation:
- Space group: R-3m
- Energy of formation: -0.10 eV per atom

No. 2
A geometry-optimized Rb2LaMoS structure, computed with PBE.

abc: 6.9182 6.9182 4.8295
angles: 90.00 90.00 90.00
Fractional coordinates of all 5 atoms:
1 Rb 0.0000 0.5000 0.0000
2 Rb 0.5000 0.0000 0.0000
3 La 0.0000 0.0000 0.0000
4 Mo 0.0000 0.0000 0.5000
5 S 0.5000 0.5000 0.5000

Values from the calculation:
- E_form (uncorrected): 5.29 eV per formula unit
- Space group: P4/mmm

No. 3
A geometry-optimized MgTe2Au structure, computed with PBE.

abc: 7.2600 7.2600 7.2600
angles: 33.44 33.44 33.44
Fractional coordinates of all 4 atoms:
1 Mg 0.0000 0.0000 0.0000
2 Te 0.2474 0.2474 0.2474
3 Te 0.7526 0.7526 0.7526
4 Au 0.5000 0.5000 0.5000

Values from the calculation:
- E_form (uncorrected): -1.15 eV per formula unit
- Space group: R-3m

No. 4
A geometry-optimized CdSb2Pt2 structure, computed with PBE.

abc: 6.0971 6.0971 6.0971
angles: 132.91 132.91 68.80
Fractional coordinates of all 5 atoms:
1 Cd 0.0000 0.0000 0.0000
2 Sb 0.2500 0.7500 0.5000
3 Sb 0.7500 0.2500 0.5000
4 Pt 0.3684 0.3684 0.0000
5 Pt 0.6316 0.6316 0.0000

Values from the calculation:
- E_form (uncorrected): -0.27 eV per formula unit
- Space group: I4/mmm

No. 5
A geometry-optimized TlHgF3 structure, computed with PBE.

abc: 4.2626 4.2626 13.8420
angles: 90.00 90.00 120.00
Fractional coordinates of all 10 atoms:
1 Tl 0.0000 0.0000 0.0000
2 Tl 0.0000 0.0000 0.5000
3 Hg 0.3333 0.6667 0.2500
4 Hg 0.6667 0.3333 0.7500
5 F 0.0000 0.0000 0.2500
6 F 0.0000 0.0000 0.7500
7 F 0.3333 0.6667 0.0961
8 F 0.3333 0.6667 0.4039
9 F 0.6667 0.3333 0.5961
10 F 0.6667 0.3333 0.9039

Values from the calculation:
- E_form (uncorrected): -7.93 eV per formula unit
- Space group: P6_3/mmc

No. 6
A geometry-optimized SmGa4Cu2Pt structure, computed with PBE.

abc: 9.3476 9.3476 9.3476
angles: 26.02 26.02 26.02
Fractional coordinates of all 8 atoms:
1 Sm 0.0000 0.0000 0.0000
2 Ga 0.1273 0.1273 0.1273
3 Ga 0.4011 0.4011 0.4011
4 Ga 0.5989 0.5989 0.5989
5 Ga 0.8727 0.8727 0.8727
6 Cu 0.2472 0.2472 0.2472
7 Cu 0.7528 0.7528 0.7528
8 Pt 0.5000 0.5000 0.5000

Values from the calculation:
- Space group: R-3m
- Energy of formation: -0.42 eV per atom

No. 7
A geometry-optimized Ca2AcAgS4 structure, computed with PBE.

abc: 6.9270 4.1768 7.2361
angles: 90.00 109.59 90.00
Fractional coordinates of all 8 atoms:
1 Ca 0.0000 0.0000 0.0000
2 Ca 0.5000 0.5000 0.0000
3 Ac 0.0000 0.5000 0.5000
4 Ag 0.5000 0.0000 0.5000
5 S 0.2508 0.5000 0.2417
6 S 0.2536 0.0000 0.7637
7 S 0.7464 0.0000 0.2363
8 S 0.7492 0.5000 0.7583

Values from the calculation:
- E_form (uncorrected): -13.50 eV per formula unit
- Space group: P2/m

No. 8
A geometry-optimized Dy5Y12Tm2 structure, computed with PBE.

abc: 9.0299 9.0299 8.6029
angles: 91.55 91.55 61.98
Fractional coordinates of all 19 atoms:
1 Dy 0.0000 0.0000 0.0000
2 Dy 0.2302 0.2302 0.0714
3 Dy 0.2961 0.2961 0.4797
4 Dy 0.7039 0.7039 0.5203
5 Dy 0.7698 0.7698 0.9286
6 Y 0.0304 0.6705 0.2628
7 Y 0.0758 0.0758 0.3734
8 Y 0.1790 0.5628 0.8313
9 Y 0.3295 0.9696 0.7372
10 Y 0.4372 0.8210 0.1687
11 Y 0.4423 0.4423 0.1658
12 Y 0.5577 0.5577 0.8342
13 Y 0.5628 0.1790 0.8313
14 Y 0.6705 0.0304 0.2628
15 Y 0.8210 0.4372 0.1687
16 Y 0.9242 0.9242 0.6266
17 Y 0.9696 0.3295 0.7372
18 Tm 0.3283 0.6717 0.5000
19 Tm 0.6717 0.3283 0.5000

Values from the calculation:
- Space group: C2/m
- Energy of formation: 0.12 eV per atom

No. 9
A geometry-optimized AgAs2Br structure, computed with PBE.

abc: 7.9711 7.9711 7.9711
angles: 27.60 27.60 27.60
Fractional coordinates of all 4 atoms:
1 Ag 0.0000 0.0000 0.0000
2 As 0.2466 0.2466 0.2466
3 As 0.5201 0.5201 0.5201
4 Br 0.7392 0.7392 0.7392

Values from the calculation:
- E_form (uncorrected): -0.29 eV per formula unit
- Space group: R3m

No. 10
A geometry-optimized BeCoRh structure, computed with PBE.

abc: 3.6965 3.6965 3.6965
angles: 60.00 60.00 60.00
Fractional coordinates of all 3 atoms:
1 Be 0.0000 0.0000 0.0000
2 Co 0.2500 0.2500 0.2500
3 Rh 0.7500 0.7500 0.7500

Values from the calculation:
- Space group: F-43m
- Energy of formation: 0.07 eV per atom

No. 11
A geometry-optimized Pm12CuRu6 structure, computed with PBE.

abc: 8.2984 8.2984 8.2984
angles: 100.17 100.17 100.17
Fractional coordinates of all 19 atoms:
1 Pm 0.0618 0.6726 0.9160
2 Pm 0.0840 0.9382 0.3274
3 Pm 0.1791 0.4144 0.5647
4 Pm 0.3274 0.0840 0.9382
5 Pm 0.4144 0.5647 0.1791
6 Pm 0.4353 0.8209 0.5856
7 Pm 0.5647 0.1791 0.4144
8 Pm 0.5856 0.4353 0.8209
9 Pm 0.6726 0.9160 0.0618
10 Pm 0.8209 0.5856 0.4353
11 Pm 0.9160 0.0618 0.6726
12 Pm 0.9382 0.3274 0.0840
13 Cu 0.0000 0.0000 0.0000
14 Ru 0.1332 0.6107 0.2996
15 Ru 0.2996 0.1332 0.6107
16 Ru 0.3893 0.7004 0.8668
17 Ru 0.6107 0.2996 0.1332
18 Ru 0.7004 0.8668 0.3893
19 Ru 0.8668 0.3893 0.7004

Values from the calculation:
- Space group: R-3
- Energy of formation: -0.09 eV per atom

No. 12
A geometry-optimized TaPdF2 structure, computed with PBE.

abc: 10.0865 10.0865 10.0865
angles: 16.84 16.84 16.84
Fractional coordinates of all 4 atoms:
1 Ta 0.0000 0.0000 0.0000
2 Pd 0.5000 0.5000 0.5000
3 F 0.0631 0.0631 0.0631
4 F 0.9369 0.9369 0.9369

Values from the calculation:
- E_form (uncorrected): -4.61 eV per formula unit
- Space group: R-3m

No. 13
A geometry-optimized LaMgBRu2 structure, computed with PBE.

abc: 4.3716 4.3716 4.3380
angles: 90.00 90.00 90.00
Fractional coordinates of all 5 atoms:
1 La 0.0000 0.0000 0.0000
2 Mg 0.5000 0.5000 0.0000
3 B 0.5000 0.5000 0.5000
4 Ru 0.0000 0.5000 0.5000
5 Ru 0.5000 0.0000 0.5000

Values from the calculation:
- Space group: P4/mmm
- Energy of formation: -0.12 eV per atom

No. 14
A geometry-optimized La5NdHo2 structure, computed with PBE.

abc: 9.9276 9.9276 6.7269
angles: 99.12 99.12 61.65
Fractional coordinates of all 16 atoms:
1 La 0.0583 0.9417 0.7500
2 La 0.1174 0.2915 0.0244
3 La 0.2915 0.1174 0.5244
4 La 0.3130 0.5027 0.8537
5 La 0.4973 0.6870 0.6463
6 La 0.5027 0.3130 0.3537
7 La 0.6870 0.4973 0.1463
8 La 0.7085 0.8826 0.4756
9 La 0.8826 0.7085 0.9756
10 La 0.9417 0.0583 0.2500
11 Nd 0.0000 0.5000 0.5000
12 Nd 0.5000 0.0000 0.0000
13 Ho 0.1743 0.6638 0.3574
14 Ho 0.3362 0.8257 0.1426
15 Ho 0.6638 0.1743 0.8574
16 Ho 0.8257 0.3362 0.6426

Values from the calculation:
- Space group: C2/c
- Energy of formation: 0.13 eV per atom

No. 15
A geometry-optimized YCu2BrF structure, computed with PBE.

abc: 4.1244 4.1244 5.6672
angles: 90.00 90.00 90.00
Fractional coordinates of all 5 atoms:
1 Y 0.0000 0.0000 0.0000
2 Cu 0.0000 0.5000 0.5000
3 Cu 0.5000 0.0000 0.5000
4 Br 0.5000 0.5000 0.0000
5 F 0.5000 0.5000 0.5000

Values from the calculation:
- E_form (uncorrected): -1.96 eV per formula unit
- Space group: P4/mmm

No. 16
A geometry-optimized KIn2Hg2Br6 structure, computed with PBE.

abc: 7.8129 7.8129 8.7801
angles: 115.60 115.60 70.41
Fractional coordinates of all 11 atoms:
1 K 0.0000 0.0000 0.0000
2 In 0.4872 0.4872 0.3299
3 In 0.5128 0.5128 0.6701
4 Hg 0.1354 0.1354 0.5981
5 Hg 0.8646 0.8646 0.4019
6 Br 0.1781 0.6163 0.7133
7 Br 0.2701 0.2701 0.0364
8 Br 0.3837 0.8219 0.2867
9 Br 0.6163 0.1781 0.7133
10 Br 0.7299 0.7299 0.9636
11 Br 0.8219 0.3837 0.2867

Values from the calculation:
- E_form (uncorrected): -7.99 eV per formula unit
- Space group: C2/m

No. 17
A geometry-optimized KCrOsPd2 structure, computed with PBE.

abc: 4.6041 4.6041 4.7916
angles: 90.00 90.00 90.00
Fractional coordinates of all 5 atoms:
1 K 0.0000 0.0000 0.0000
2 Cr 0.0000 0.0000 0.5000
3 Os 0.5000 0.5000 0.0000
4 Pd 0.0000 0.5000 0.5000
5 Pd 0.5000 0.0000 0.5000

Values from the calculation:
- Space group: P4/mmm
- Energy of formation: 2.04 eV per atom

No. 18
A geometry-optimized Hf2ScCo structure, computed with PBE.

abc: 6.0608 6.0608 6.0608
angles: 102.89 102.89 123.62
Fractional coordinates of all 8 atoms:
1 Hf 0.0579 0.6250 0.9329
2 Hf 0.3750 0.3079 0.4329
3 Hf 0.6921 0.1250 0.0671
4 Hf 0.8750 0.9421 0.5671
5 Sc 0.2500 0.7500 0.5000
6 Sc 0.5000 0.5000 0.0000
7 Co 0.0000 0.0000 0.0000
8 Co 0.7500 0.2500 0.5000

Values from the calculation:
- Space group: I-42d
- Energy of formation: 0.07 eV per atom

No. 19
A geometry-optimized NbZnGa2 structure, computed with PBE.

abc: 5.1029 5.1029 5.1029
angles: 47.52 47.52 47.52
Fractional coordinates of all 4 atoms:
1 Nb 0.0000 0.0000 0.0000
2 Zn 0.5000 0.5000 0.5000
3 Ga 0.2298 0.2298 0.2298
4 Ga 0.7702 0.7702 0.7702

Values from the calculation:
- Space group: R-3m
- Energy of formation: 0.08 eV per atom

No. 20
A geometry-optimized ZnI3O structure, computed with PBE.

abc: 5.5104 5.5104 5.5104
angles: 90.00 90.00 90.00
Fractional coordinates of all 5 atoms:
1 Zn 0.0000 0.0000 0.0000
2 I 0.0000 0.0000 0.5000
3 I 0.0000 0.5000 0.0000
4 I 0.5000 0.0000 0.0000
5 O 0.5000 0.5000 0.5000

Values from the calculation:
- E_form (uncorrected): 3.69 eV per formula unit
- Space group: Pm-3m

No. 21
A geometry-optimized Hf2InReBi structure, computed with PBE.

abc: 5.0691 5.0691 5.2161
angles: 90.00 90.00 90.00
Fractional coordinates of all 5 atoms:
1 Hf 0.0000 0.5000 0.0000
2 Hf 0.5000 0.0000 0.0000
3 In 0.0000 0.0000 0.5000
4 Re 0.0000 0.0000 0.0000
5 Bi 0.5000 0.5000 0.5000

Values from the calculation:
- Space group: P4/mmm
- Energy of formation: 0.46 eV per atom

No. 22
A geometry-optimized InAsCl2 structure, computed with PBE.

abc: 6.1861 3.4945 6.2701
angles: 90.00 118.74 90.00
Fractional coordinates of all 4 atoms:
1 In 0.0000 0.0000 0.0000
2 As 0.5000 0.0000 0.0000
3 Cl 0.3313 0.5000 0.6669
4 Cl 0.6687 0.5000 0.3331

Values from the calculation:
- E_form (uncorrected): -1.08 eV per formula unit
- Space group: P2/m

No. 23
A geometry-optimized Ac2BeCuAu6 structure, computed with PBE.

abc: 6.5044 6.5295 7.0403
angles: 62.97 62.99 60.67
Fractional coordinates of all 10 atoms:
1 Ac 0.2222 0.2232 0.3334
2 Ac 0.7778 0.7768 0.6666
3 Be 0.0000 0.0000 0.0000
4 Cu 0.5000 0.5000 0.5000
5 Au 0.2412 0.7000 0.8173
6 Au 0.2426 0.2399 0.8146
7 Au 0.2982 0.7612 0.1849
8 Au 0.7018 0.2388 0.8151
9 Au 0.7574 0.7601 0.1854
10 Au 0.7588 0.3000 0.1827

Values from the calculation:
- Space group: P-1
- Energy of formation: -0.51 eV per atom

No. 24
A geometry-optimized KTl2Bi structure, computed with PBE.

abc: 7.5156 7.5156 7.5156
angles: 102.38 102.38 124.84
Fractional coordinates of all 8 atoms:
1 K 0.0000 0.0000 0.0000
2 K 0.7500 0.2500 0.5000
3 Tl 0.1704 0.1250 0.5454
4 Tl 0.3750 0.8296 0.9546
5 Tl 0.5796 0.6250 0.4546
6 Tl 0.8750 0.4204 0.0454
7 Bi 0.2500 0.7500 0.5000
8 Bi 0.5000 0.5000 0.0000

Values from the calculation:
- Space group: I-42d
- Energy of formation: -0.08 eV per atom

No. 25
A geometry-optimized BaZr3Fe structure, computed with PBE.

abc: 5.0633 5.0633 5.0633
angles: 90.00 90.00 90.00
Fractional coordinates of all 5 atoms:
1 Ba 0.0000 0.0000 0.0000
2 Zr 0.0000 0.5000 0.5000
3 Zr 0.5000 0.0000 0.5000
4 Zr 0.5000 0.5000 0.0000
5 Fe 0.5000 0.5000 0.5000

Values from the calculation:
- Space group: Pm-3m
- Energy of formation: 0.35 eV per atom

Volume (computed, A^3/atom): 15.1; 46.2; 25.9; 23.9; 21.8; 17.3; 24.7; 32.6; 24.0; 11.9; 28.5; 18.8; 16.6; 35.8; 19.3; 39.0; 20.3; 20.4; 16.5; 33.5; 26.8; 29.7; 22.2; 38.6; 26.0